LiCaBiSb | PBE | relaxed

Values from the calculation:
Total energy, eV per atom: -3.476
DOS at the Fermi energy, states/eV/atom: 0.48

Unit cell a=7.574 b=7.574 c=7.574 alpha=90.00 beta=90.00 gamma=90.00
Space group F-43m (No. 216)
Asymmetric unit:
Li: 0.000 0.000 0.000
Ca: 0.000 0.000 0.500
Bi: 0.250 0.250 0.750
Sb: 0.250 0.250 0.250